## A
Here is a relaxed MnCuBr2 crystal from Alexandria via LeMat-Bulk. Energies are from GGA-PBE.

As for the density of states at the Fermi level: 2.22 states/eV/f.u. Its symmetry is Cmmm. The crystal system is orthorhombic.

a = 3.8065 Å, b = 3.8065 Å, c = 7.6436 Å
α = 90.00°, β = 90.00°, γ = 123.07°
Site moments in Bohr magnetons follow the coordinates.
Fractional coordinates of all 4 atoms:
Br: 0.0000 0.0000 0.0106  0.03
Br: 0.0000 0.0000 0.4894  0.03
Mn: 0.5000 0.5000 0.7500  4.06
Cu: 0.5000 0.5000 0.2500  0.03

## B
Here is a relaxed MnCuBr2 crystal from Alexandria via LeMat-Bulk. Energies are from GGA-PBE.

As for the density of states at the Fermi level: 1.94 states/eV/f.u. Its symmetry is I-4m2. The crystal system is tetragonal.

a = 7.0366 Å, b = 7.0366 Å, c = 7.0366 Å
α = 149.26°, β = 149.26°, γ = 44.03°
Site moments in Bohr magnetons follow the coordinates.
Fractional coordinates of all 4 atoms:
Mn: 0.7500 0.2500 0.5000  4.08
Cu: 0.5000 0.5000 0.0000  0.01
Br: 0.0000 0.0000 0.0000  0.02
Br: 0.2500 0.7500 0.5000  0.06

How far above the most stable structure does each one sit? In meV per atom: A 0; B 8.

## A
Here is a relaxed MnCu3Br crystal from Alexandria via LeMat-Bulk. Energies are from GGA-PBE.

As for the density of states at the Fermi level: 7.14 states/eV/f.u. Its symmetry is Pm-3m. The crystal system is cubic.

a = 4.6911 Å, b = 4.6911 Å, c = 4.6911 Å
α = 90.00°, β = 90.00°, γ = 90.00°
Site moments in Bohr magnetons follow the coordinates.
Fractional coordinates of all 5 atoms:
Br: 0.5000 0.5000 0.5000  0.02
Cu: 0.0000 0.0000 0.5000  0.19
Cu: 0.5000 0.0000 0.0000  0.06
Cu: 0.0000 0.5000 0.0000  0.12
Mn: 0.0000 0.0000 0.0000  3.69

## B
Here is a relaxed MnCu3Br crystal from Alexandria via LeMat-Bulk. Energies are from GGA-PBE.

As for the density of states at the Fermi level: 2.68 states/eV/f.u. Its symmetry is Pm-3m. The crystal system is cubic.

a = 4.6854 Å, b = 4.6854 Å, c = 4.6854 Å
α = 90.00°, β = 90.00°, γ = 90.00°
Site moments in Bohr magnetons follow the coordinates.
Fractional coordinates of all 5 atoms:
Cu: 0.0000 0.0000 0.5000  0.00
Cu: 0.5000 0.0000 0.0000  0.04
Cu: 0.0000 0.5000 0.0000  0.01
Mn: 0.5000 0.5000 0.5000  4.32
Br: 0.0000 0.0000 0.0000  0.02

How far above the most stable structure does each one sit? In meV per atom: A 0; B 129.